Computed, not measured: Tc7Os after structural relaxation at the GGA-PBEsol level of DFT.

Results
energy of formation = 5.9 kJ/mol of atoms
SG = Fm-3m, No. 225
total magnetic moment = 0.000 μB per atom

Cell and atoms, written as POSCAR:
```
Tc7Os
1.0
-2.442 0.133 -4.828
2.153 -2.656 -4.196
-2.427 -4.437 -1.928
Os Tc
1 7
direct
0.000 0.000 0.000
0.500 0.500 0.000
0.000 0.500 0.000
0.000 0.500 0.500
0.000 0.000 0.500
0.500 0.000 0.500
0.500 0.000 0.000
0.500 0.500 0.500
```